# PBE SrRh2Pb, relaxed
# DOS(E_F), states/eV/atom: 1.65
# Crystal system: cubic
# Magnetization, μB/cell: 3.649
# SG: No. 216
# Energy of formation, eV/atom: 0.21
data_SrRh2Pb
_chemical_formula_sum 'Sr4 Rh8 Pb4'
_cell_length_a 6.9945
_cell_length_b 6.9945
_cell_length_c 6.9945
_cell_angle_alpha 90.00
_cell_angle_beta 90.00
_cell_angle_gamma 90.00
_symmetry_space_group_name_H-M 'P 1'
_symmetry_Int_Tables_number 1
loop_
_symmetry_equiv_pos_as_xyz
'x,y,z'
loop_
_atom_site_label
_atom_site_fract_x
_atom_site_fract_y
_atom_site_fract_z
Sr1 0.0000 0.0000 0.0000
Sr2 0.0000 0.5000 0.5000
Sr3 0.5000 0.0000 0.5000
Sr4 0.5000 0.5000 0.0000
Rh1 0.0000 0.0000 0.5000
Rh2 0.0000 0.5000 0.0000
Rh3 0.2500 0.2500 0.2500
Rh4 0.2500 0.7500 0.7500
Rh5 0.5000 0.0000 0.0000
Rh6 0.5000 0.5000 0.5000
Rh7 0.7500 0.2500 0.7500
Rh8 0.7500 0.7500 0.2500
Pb1 0.2500 0.2500 0.7500
Pb2 0.2500 0.7500 0.2500
Pb3 0.7500 0.2500 0.2500
Pb4 0.7500 0.7500 0.7500